Record 1
Here is an optimized crystal structure of ZrBeHgPt from the Open Quantum Materials Database. Energies are from GGA-PBE.

Cell lengths 4.5655, 4.5655, 4.5655 Å; angles 60.00, 60.00, 60.00 degrees
Last column: nearest neighbours and their distance in Å.
Element x y z (fractional)
Zr 0.0000 0.0000 0.0000  4 Hg 2.80, 4 Be 2.80
Be 0.7500 0.7500 0.7500  4 Zr 2.80, 4 Pt 2.80
Hg 0.2500 0.2500 0.2500  4 Zr 2.80, 4 Pt 2.80
Pt 0.5000 0.5000 0.5000  4 Hg 2.80, 4 Be 2.80

## Properties
Its distance to the lowest polymorph of the same formula is 96 meV/atom. The space group is F-43m, No. 216.

=====

Record 2
Here is an optimized crystal structure of PuBeHg from the Open Quantum Materials Database. Energies are from GGA-PBE.

Cell lengths 4.5288, 4.5288, 4.5288 Å; angles 60.00, 60.00, 60.00 degrees
Last column: nearest neighbours and their distance in Å.
Element x y z (fractional)
Pu 0.7500 0.7500 0.7500  4 Be 2.77
Be 0.0000 0.0000 0.0000  4 Hg 2.77, 4 Pu 2.77
Hg 0.2500 0.2500 0.2500  4 Be 2.77

## Properties
The total energy comes out at -5.75 eV/atom. The space group is F-43m, No. 216.

=====

Record 3
Here is an optimized crystal structure of BeReTcHg from the Open Quantum Materials Database. Energies are from GGA-PBE.

Cell lengths 4.3816, 4.3816, 4.3816 Å; angles 60.00, 60.00, 60.00 degrees
Last column: nearest neighbours and their distance in Å.
Element x y z (fractional)
Hg 0.0000 0.0000 0.0000  4 Tc 2.68, 4 Be 2.68
Tc 0.2500 0.2500 0.2500  4 Re 2.68, 4 Hg 2.68
Be 0.7500 0.7500 0.7500  4 Hg 2.68, 4 Re 2.68
Re 0.5000 0.5000 0.5000  4 Tc 2.68, 4 Be 2.68

## Properties
Its distance to the lowest polymorph of the same formula is 0 meV/atom. The space group is F-43m, No. 216.